1.
First-principles (GGA-PBE) data for NaTlTcCl2 after structural relaxation, as listed in Alexandria via LeMat-Bulk.

Cell lengths 5.0385, 5.8463, 5.0385 Å; angles 90.00, 90.00, 90.00 degrees
Closest atoms and distances in Å follow each position.
Positions (direct):
Na  0.0000  0.0000  0.0000  4 Cl 2.52
Tl  0.5000  0.5000  0.5000  4 Tc 3.56, 8 Cl 3.86
Tc  0.0000  0.5000  0.0000  2 Na 2.92
Cl  0.0000  0.0000  0.5000  2 Na 2.52
Cl  0.5000  0.0000  0.0000  2 Na 2.52

The uncorrected formation energy comes out at 0.30 eV/atom. For the size of the total moment, the calculation gives 0.9760 μB per atom. Its symmetry is No. 123. The final energy comes out at -3.25 eV per atom.

=====

2.
First-principles (GGA-PBE) data for Ge3TeAs after structural relaxation, as listed in Alexandria via LeMat-Bulk.

Cell lengths 5.1048, 5.1048, 5.1048 Å; angles 90.00, 90.00, 90.00 degrees
Closest atoms and distances in Å follow each position.
Positions (direct):
As  0.0000  0.0000  0.0000  6 Ge 2.55
Te  0.5000  0.5000  0.5000  12 Ge 3.61
Ge  0.0000  0.5000  0.0000  2 As 2.55
Ge  0.0000  0.0000  0.5000  2 As 2.55
Ge  0.5000  0.0000  0.0000  2 As 2.55

The uncorrected formation energy comes out at 0.58 eV/atom. For the size of the total moment, the calculation gives 0.0000 μB per atom. Its symmetry is No. 221. The final energy comes out at -3.75 eV per atom.

=====

3.
First-principles (GGA-PBE) data for CaMg2Zr after structural relaxation, as listed in Alexandria via LeMat-Bulk.

Cell lengths 5.8379, 5.8379, 5.8379 Å; angles 133.17, 133.17, 68.38 degrees
Closest atoms and distances in Å follow each position.
Positions (direct):
Ca  0.7500  0.2500  0.5000  8 Mg 3.28-3.35, 4 Zr 3.35
Mg  0.0000  0.0000  0.0000  4 Zr 3.28, 4 Mg 3.35, 4 Ca 3.35
Mg  0.2500  0.7500  0.5000  4 Ca 3.28, 4 Zr 3.35, 4 Mg 3.35
Zr  0.5000  0.5000  0.0000  8 Mg 3.28-3.35, 4 Ca 3.35

As for the formation energy: 264 meV per atom. For the size of the total moment, the calculation gives 0.3992 μB per atom. Its symmetry is No. 119. The final energy comes out at -3.17 eV per atom.

=====

4.
First-principles (GGA-PBE) data for La8Zn2Ir after structural relaxation, as listed in Alexandria via LeMat-Bulk.

Cell lengths 5.5909, 8.1846, 8.7283 Å; angles 117.96, 108.68, 90.00 degrees
Closest atoms and distances in Å follow each position.
Positions (direct):
La  0.6460  0.8786  0.2920  1 Ir 3.03, 1 Zn 3.18
La  0.3540  0.5867  0.7080  1 Ir 3.03, 1 Zn 3.18
La  0.1205  0.1205  0.2410  3 La 3.12-3.46, 2 Ir 3.29
La  0.0000  0.3165  0.0000  3 La 3.00-3.12, 2 Zn 3.15
La  0.8795  0.8795  0.7590  3 La 3.12-3.46, 2 Ir 3.29
La  0.6460  0.4133  0.2920  1 Ir 3.03, 1 Zn 3.18
La  0.3540  0.1214  0.7080  1 Ir 3.03, 1 Zn 3.18
La  0.0000  0.6835  0.0000  3 La 3.00-3.12, 2 Zn 3.15
Zn  0.1930  0.6930  0.3859  8 La 3.15-3.45
Zn  0.8070  0.3070  0.6141  8 La 3.15-3.45
Ir  0.5000  0.0000  0.0000  8 La 3.03-3.29

As for the formation energy: -141 meV per atom. For the size of the total moment, the calculation gives 0.0000 μB per atom. For the energy above the most stable polymorph in this dataset, the calculation gives 10.3 kJ/mol of atoms. Its symmetry is No. 71. The final energy comes out at -4.76 eV per atom.

=====

5.
First-principles (GGA-PBE) data for UPaCo5Ge2 after structural relaxation, as listed in Alexandria via LeMat-Bulk.

Cell lengths 3.9343, 3.9343, 8.6274 Å; angles 90.00, 90.00, 90.00 degrees
Closest atoms and distances in Å follow each position.
Positions (direct):
U  0.0000  0.0000  0.0000  8 Ge 3.06, 8 Co 3.16
Pa  0.0000  0.0000  0.5000  12 Co 2.69-2.78
Co  0.0000  0.5000  0.2870  2 Ge 2.31
Co  0.5000  0.0000  0.2870  2 Ge 2.31
Co  0.0000  0.5000  0.7130  2 Ge 2.31
Co  0.5000  0.0000  0.7130  2 Ge 2.31
Co  0.5000  0.5000  0.5000  8 Co 2.69, 4 Pa 2.78
Ge  0.5000  0.5000  0.1473  4 Co 2.31, 1 Ge 2.54
Ge  0.5000  0.5000  0.8527  4 Co 2.31, 1 Ge 2.54

As for the formation energy: -290 meV per atom. For the size of the total moment, the calculation gives 0.2492 μB per atom. Its symmetry is No. 123. The final energy comes out at -7.57 eV per atom.

=====

6.
First-principles (GGA-PBE) data for ZrW2Cl after structural relaxation, as listed in Alexandria via LeMat-Bulk.

Cell lengths 2.8377, 2.8377, 8.9547 Å; angles 90.00, 90.00, 90.00 degrees
Closest atoms and distances in Å follow each position.
Positions (direct):
Cl  0.5000  0.5000  0.7500  4 Cl 2.84, 8 W 2.94
W  0.0000  0.0000  0.9902  4 W 2.84, 4 Cl 2.94, 4 Zr 3.07
W  0.0000  0.0000  0.5098  4 W 2.84, 4 Cl 2.94, 4 Zr 3.07
Zr  0.5000  0.5000  0.2500  4 Zr 2.84, 8 W 3.07

The uncorrected formation energy comes out at 0.73 eV/atom. For the size of the total moment, the calculation gives 0.0000 μB per atom. For the energy above the most stable polymorph in this dataset, the calculation gives 74.0 kJ/mol of atoms. Its symmetry is No. 123. The final energy comes out at -8.34 eV per atom.

=====

7.
First-principles (GGA-PBE) data for YTa3Co after structural relaxation, as listed in Alexandria via LeMat-Bulk.

Cell lengths 4.8580, 4.8580, 4.8580 Å; angles 90.00, 90.00, 90.00 degrees
Closest atoms and distances in Å follow each position.
Positions (direct):
Y  0.0000  0.0000  0.0000  6 Ta 2.43
Co  0.5000  0.5000  0.5000  12 Ta 3.44
Ta  0.0000  0.5000  0.0000  2 Y 2.43
Ta  0.0000  0.0000  0.5000  2 Y 2.43
Ta  0.5000  0.0000  0.0000  2 Y 2.43

As for the formation energy: 2809 meV per atom. For the size of the total moment, the calculation gives 0.0000 μB per atom. For the energy above the most stable polymorph in this dataset, the calculation gives 216.3 kJ/mol of atoms. Its symmetry is No. 221. The final energy comes out at -7.02 eV per atom.

=====

8.
First-principles (GGA-PBE) data for Ca3AlV after structural relaxation, as listed in Alexandria via LeMat-Bulk.

Cell lengths 5.6763, 5.6763, 5.6763 Å; angles 90.00, 90.00, 90.00 degrees
Closest atoms and distances in Å follow each position.
Positions (direct):
Ca  0.0000  0.5000  0.0000  2 V 2.84
Ca  0.0000  0.0000  0.5000  2 V 2.84
Ca  0.5000  0.0000  0.0000  2 V 2.84
Al  0.5000  0.5000  0.5000  12 Ca 4.01
V  0.0000  0.0000  0.0000  6 Ca 2.84

As for the formation energy: 788 meV per atom. For the size of the total moment, the calculation gives 0.8216 μB per atom. For the energy above the most stable polymorph in this dataset, the calculation gives 7.1 kJ/mol of atoms. Its symmetry is No. 221. The final energy comes out at -2.99 eV per atom.

=====

9.
First-principles (GGA-PBE) data for Ti2VRh5 after structural relaxation, as listed in Alexandria via LeMat-Bulk.

Cell lengths 4.0755, 5.3894, 10.4987 Å; angles 90.00, 90.00, 90.00 degrees
Closest atoms and distances in Å follow each position.
Positions (direct):
Ti  0.5000  0.3333  0.3560  10 Rh 2.61-2.84
Ti  0.5000  0.6667  0.6440  10 Rh 2.61-2.84
Ti  0.5000  0.1667  0.8560  10 Rh 2.61-2.84
Ti  0.5000  0.8333  0.1440  10 Rh 2.61-2.84
V  0.0000  0.0000  0.5000  8 Rh 2.51-2.69
V  0.0000  0.5000  0.0000  8 Rh 2.51-2.69
Rh  0.5000  0.3124  0.1043  2 V 2.52, 3 Ti 2.62-2.72
Rh  0.5000  0.6876  0.8957  2 V 2.52, 3 Ti 2.62-2.72
Rh  0.5000  0.8124  0.3957  2 V 2.52, 3 Ti 2.62-2.72
Rh  0.5000  0.1876  0.6043  2 V 2.52, 3 Ti 2.62-2.72
Rh  0.0000  0.9107  0.7346  1 V 2.51, 4 Ti 2.61-2.77, 2 Rh 2.71
Rh  0.0000  0.0893  0.2654  1 V 2.51, 4 Ti 2.61-2.77, 2 Rh 2.71
Rh  0.0000  0.4107  0.7654  1 V 2.51, 4 Ti 2.61-2.77, 2 Rh 2.71
Rh  0.0000  0.5893  0.2346  1 V 2.51, 4 Ti 2.61-2.77, 2 Rh 2.71
Rh  0.0000  0.5000  0.5000  4 Ti 2.69, 2 V 2.69, 6 Rh 2.83-2.86
Rh  0.0000  0.0000  0.0000  4 Ti 2.69, 2 V 2.69, 6 Rh 2.83-2.86

As for the formation energy: -658 meV per atom. For the size of the total moment, the calculation gives 0.0001 μB per atom. Its symmetry is No. 55. The final energy comes out at -8.37 eV per atom.

=====

10.
First-principles (GGA-PBE) data for Er2Zn2FeNi5 after structural relaxation, as listed in Alexandria via LeMat-Bulk.

Cell lengths 3.4788, 9.2153, 9.2153 Å; angles 90.00, 90.00, 90.00 degrees
Closest atoms and distances in Å follow each position.
Positions (direct):
Er  0.0000  0.6761  0.1761  3 Zn 2.62-2.80, 2 Ni 2.88
Er  0.0000  0.3239  0.8239  3 Zn 2.62-2.80, 2 Ni 2.88
Er  0.0000  0.1761  0.3239  3 Zn 2.62-2.80, 2 Ni 2.88
Er  0.0000  0.8239  0.6761  3 Zn 2.62-2.80, 2 Ni 2.88
Zn  0.0000  0.1225  0.6225  6 Ni 2.36-2.50, 1 Er 2.62
Zn  0.0000  0.8775  0.3775  6 Ni 2.36-2.50, 1 Er 2.62
Zn  0.0000  0.6225  0.8775  6 Ni 2.36-2.50, 1 Er 2.62
Zn  0.0000  0.3775  0.1225  6 Ni 2.36-2.50, 1 Er 2.62
Fe  0.0000  0.0000  0.0000  8 Ni 2.55
Fe  0.0000  0.5000  0.5000  8 Ni 2.55
Ni  0.5000  0.1947  0.0559  2 Zn 2.50, 2 Fe 2.55, 2 Ni 2.64
Ni  0.5000  0.8053  0.9441  2 Zn 2.50, 2 Fe 2.55, 2 Ni 2.64
Ni  0.5000  0.0559  0.8053  2 Zn 2.50, 2 Fe 2.55, 2 Ni 2.64
Ni  0.5000  0.6947  0.4441  2 Zn 2.50, 2 Fe 2.55, 2 Ni 2.64
Ni  0.5000  0.9441  0.1947  2 Zn 2.50, 2 Fe 2.55, 2 Ni 2.64
Ni  0.5000  0.3053  0.5559  2 Zn 2.50, 2 Fe 2.55, 2 Ni 2.64
Ni  0.5000  0.5559  0.6947  2 Zn 2.50, 2 Fe 2.55, 2 Ni 2.64
Ni  0.5000  0.4441  0.3053  2 Zn 2.50, 2 Fe 2.55, 2 Ni 2.64
Ni  0.5000  0.5000  0.0000  4 Zn 2.36
Ni  0.5000  0.0000  0.5000  4 Zn 2.36

As for the formation energy: -208 meV per atom. For the size of the total moment, the calculation gives 0.3463 μB per atom. Its symmetry is No. 127. The final energy comes out at -5.11 eV per atom.

=====

11.
First-principles (GGA-PBE) data for K2CdRe after structural relaxation, as listed in Alexandria via LeMat-Bulk.

Cell lengths 12.5780, 12.5780, 12.5780 Å; angles 14.04, 14.04, 14.04 degrees
Closest atoms and distances in Å follow each position.
Positions (direct):
Cd  0.7623  0.7623  0.7623  3 Re 2.93, 6 Cd 3.07
K  0.0113  0.0113  0.0113  6 K 3.07
K  0.2350  0.2350  0.2350  6 K 3.07, 3 Re 3.38
Re  0.4914  0.4914  0.4914  3 Cd 2.93, 6 Re 3.07

As for the formation energy: 1105 meV per atom. For the size of the total moment, the calculation gives 0.0018 μB per atom. Its symmetry is No. 160. The final energy comes out at -2.78 eV per atom.

=====

- Which of these has the highest size of the total moment?
  NaTlTcCl2